1.
Material: TaTe2Cl6
Method: DFT, PBE
State: optimized geometry

Output
- formation energy without anion corrections (eV/atom) = -0.98

Cell: 7.4046 7.4292 11.9731 Å, 76.49 80.42 81.03°
Atoms (fractional coordinates):
Ta  0.1716  0.1957  0.2090
Ta  0.8284  0.8043  0.7910
Te  0.3464  0.7330  0.5104
Te  0.4076  0.3956  0.6573
Te  0.5924  0.6044  0.3427
Te  0.6536  0.2670  0.4896
Cl  0.0511  0.9079  0.2882
Cl  0.1306  0.2540  0.4020
Cl  0.1332  0.6512  0.8107
Cl  0.2107  0.1352  0.0248
Cl  0.3033  0.4729  0.1388
Cl  0.4741  0.0346  0.2470
Cl  0.5259  0.9654  0.7530
Cl  0.6967  0.5271  0.8612
Cl  0.7893  0.8648  0.9752
Cl  0.8668  0.3488  0.1893
Cl  0.8694  0.7460  0.5980
Cl  0.9489  0.0921  0.7118

---

2.
Material: PrSnPd6
Method: DFT, PBE
State: optimized geometry

Output
- DOS(E_F) (states/eV/f.u.) = 1.45
- energy relative to the elements (meV/atom) = -616

Cell: 4.1676 4.1676 8.1361 Å, 90.00 90.00 90.00°
Atoms (fractional coordinates):
Pr  0.0000  0.0000  0.0000
Sn  0.0000  0.0000  0.5000
Pd  0.0000  0.5000  0.2659
Pd  0.0000  0.5000  0.7341
Pd  0.5000  0.0000  0.2659
Pd  0.5000  0.0000  0.7341
Pd  0.5000  0.5000  0.0000
Pd  0.5000  0.5000  0.5000

---

3.
Material: ZnPRhCl2
Method: DFT, PBE
State: optimized geometry

Output
- formation energy without anion corrections (eV/atom) = 0.13
- DOS(E_F) (states/eV/f.u.) = 2.26

Cell: 4.9676 4.9676 4.4885 Å, 90.00 90.00 90.00°
Atoms (fractional coordinates):
Zn  0.0000  0.0000  0.0000
P  0.5000  0.5000  0.0000
Rh  0.5000  0.5000  0.5000
Cl  0.0000  0.5000  0.5000
Cl  0.5000  0.0000  0.5000

---

4.
Material: LaNd4Ho2Th
Method: DFT, PBE
State: optimized geometry

Output
- DOS(E_F) (states/eV/f.u.) = 12.88
- energy relative to the elements (meV/atom) = 42

Cell: 5.1213 5.1316 10.3778 Å, 90.00 90.08 90.00°
Atoms (fractional coordinates):
La  0.0000  0.0000  0.0000
Nd  0.0000  0.5000  0.2554
Nd  0.0000  0.5000  0.7446
Nd  0.5003  0.0000  0.2564
Nd  0.4997  0.0000  0.7436
Ho  0.0000  0.0000  0.5000
Ho  0.5000  0.5000  0.0000
Th  0.5000  0.5000  0.5000

---

5.
Material: HRu2Au
Method: DFT, PBE
State: optimized geometry

Output
- DOS(E_F) (states/eV/f.u.) = 1.23
- raw total energy (eV per atom) = -5.805

Cell: 6.0571 6.0571 5.4364 Å, 90.00 90.00 90.00°
Atoms (fractional coordinates):
H  0.0000  0.0000  0.0000
H  0.0000  0.5000  0.2500
H  0.5000  0.0000  0.7500
H  0.5000  0.5000  0.5000
Ru  0.1435  0.2500  0.1250
Ru  0.2500  0.6435  0.3750
Ru  0.2500  0.8565  0.8750
Ru  0.3565  0.2500  0.6250
Ru  0.6435  0.7500  0.6250
Ru  0.7500  0.1435  0.8750
Ru  0.7500  0.3565  0.3750
Ru  0.8565  0.7500  0.1250
Au  0.0000  0.0000  0.5000
Au  0.0000  0.5000  0.7500
Au  0.5000  0.0000  0.2500
Au  0.5000  0.5000  0.0000

---

6.
Material: ErThMgRu
Method: DFT, PBE
State: optimized geometry

Output
- DOS(E_F) (states/eV/f.u.) = 3.57
- energy relative to the elements (meV/atom) = -147

Cell: 7.2118 7.2118 7.2118 Å, 90.00 90.00 90.00°
Atoms (fractional coordinates):
Er  0.0000  0.0000  0.0000
Er  0.0000  0.5000  0.5000
Er  0.5000  0.0000  0.5000
Er  0.5000  0.5000  0.0000
Th  0.0000  0.0000  0.5000
Th  0.0000  0.5000  0.0000
Th  0.5000  0.0000  0.0000
Th  0.5000  0.5000  0.5000
Mg  0.2500  0.2500  0.7500
Mg  0.2500  0.7500  0.2500
Mg  0.7500  0.2500  0.2500
Mg  0.7500  0.7500  0.7500
Ru  0.2500  0.2500  0.2500
Ru  0.2500  0.7500  0.7500
Ru  0.7500  0.2500  0.7500
Ru  0.7500  0.7500  0.2500

---

7.
Material: SrMo2P
Method: DFT, PBE
State: optimized geometry

Output
- DOS(E_F) (states/eV/f.u.) = 3.39
- energy relative to the elements (meV/atom) = 69

Cell: 3.3061 3.3061 7.2696 Å, 90.00 90.00 90.00°
Atoms (fractional coordinates):
Sr  0.0000  0.0000  0.0000
Mo  0.0000  0.0000  0.5272
Mo  0.5000  0.5000  0.3485
P  0.5000  0.5000  0.6991

---

8.
Material: Ca2BeCo2
Method: DFT, PBE
State: optimized geometry

Output
- DOS(E_F) (states/eV/f.u.) = 6.70
- energy relative to the elements (meV/atom) = 272

Cell: 6.2140 6.2140 4.4792 Å, 90.00 90.00 90.00°
Atoms (fractional coordinates):
Ca  0.1801  0.3199  0.0000
Ca  0.3199  0.8199  0.0000
Ca  0.6801  0.1801  0.0000
Ca  0.8199  0.6801  0.0000
Be  0.0000  0.0000  0.5000
Be  0.5000  0.5000  0.5000
Co  0.1302  0.6302  0.5000
Co  0.3698  0.1302  0.5000
Co  0.6302  0.8698  0.5000
Co  0.8698  0.3698  0.5000

---

9.
Material: KBa2TlCu
Method: DFT, PBE
State: optimized geometry

Output
- DOS(E_F) (states/eV/f.u.) = 5.83
- energy relative to the elements (meV/atom) = 12

Cell: 6.4449 6.4449 5.2048 Å, 90.00 90.00 90.00°
Atoms (fractional coordinates):
K  0.0000  0.0000  0.0000
Ba  0.0000  0.5000  0.5000
Ba  0.5000  0.0000  0.5000
Tl  0.5000  0.5000  0.0000
Cu  0.5000  0.5000  0.5000

---

10.
Material: Sm5SiSb4
Method: DFT, PBE
State: optimized geometry

Output
- formation energy without anion corrections (eV/atom) = -1.02
- DOS(E_F) (states/eV/f.u.) = 3.77

Cell: 7.6528 7.6528 7.6528 Å, 99.62 99.62 131.74°
Atoms (fractional coordinates):
Sm  0.0000  0.0000  0.0000
Sm  0.2110  0.5982  0.8092
Sm  0.4018  0.2110  0.6127
Sm  0.5982  0.7890  0.3873
Sm  0.7890  0.4018  0.1908
Si  0.5000  0.5000  0.0000
Sb  0.0954  0.3023  0.3977
Sb  0.3023  0.9046  0.2069
Sb  0.6977  0.0954  0.7931
Sb  0.9046  0.6977  0.6023

---

11.
Material: ReOs
Method: DFT, PBE
State: optimized geometry

Output
- DOS(E_F) (states/eV/f.u.) = 1.46
- energy relative to the elements (meV/atom) = -45

Cell: 2.7662 2.7662 8.8204 Å, 90.00 90.00 120.00°
Atoms (fractional coordinates):
Re  0.3333  0.6667  0.3713
Re  0.6667  0.3333  0.6287
Os  0.3333  0.6667  0.8760
Os  0.6667  0.3333  0.1240

---

12.
Material: Dy2ErAl3
Method: DFT, PBE
State: optimized geometry

Output
- DOS(E_F) (states/eV/f.u.) = 2.01
- energy relative to the elements (meV/atom) = -398

Cell: 3.5720 3.5720 10.8484 Å, 90.00 90.00 90.00°
Atoms (fractional coordinates):
Dy  0.0000  0.0000  0.1681
Dy  0.0000  0.0000  0.8319
Er  0.0000  0.0000  0.5000
Al  0.5000  0.5000  0.0000
Al  0.5000  0.5000  0.3365
Al  0.5000  0.5000  0.6635

---

These records have density values of 3438 10554 4051 7780 13325 9291 6488 3975 4468 6893 21389 6876 kg/m³, in the order they appear.